Compound: Ga3TcNi12
Source: the Alexandria database
Functional: PBE
Structure: optimized geometry

a b c (Å): 3.586 3.586 14.299
angles (deg): 90.00 90.00 90.00
Space group P4/mmm (No. 123)
One atom of each set of equivalent atoms:
Ga 0.000 0.000 0.000 (multiplicity 1)
Ga 0.000 0.000 0.246 (multiplicity 2)
Tc 0.000 0.000 0.500 (multiplicity 1)
Ni 0.000 0.500 0.124 (multiplicity 4)
Ni 0.000 0.500 0.376 (multiplicity 4)
Ni 0.500 0.500 0.000 (multiplicity 1)
Ni 0.500 0.500 0.250 (multiplicity 2)
Ni 0.500 0.500 0.500 (multiplicity 1)

Output
Crystal system = tetragonal
DFT total energy = -5.768 eV/atom
Size of the total moment = 0.9 Bohr magnetons per cell
ΔH_f (0 K) = -5.0 kcal/mol of atoms
D(E_F) = 1.115 states/eV/atom

Compound: CaMo2Pt
Source: the Alexandria database
Functional: PBE
Structure: optimized geometry

a b c (Å): 5.367 9.584 2.740
angles (deg): 90.00 90.00 90.00
Space group Cmmm (No. 65)
One atom of each set of equivalent atoms:
Ca 0.000 0.000 0.000 (multiplicity 2)
Mo 0.250 0.250 0.500 (multiplicity 4)
Pt 0.000 0.500 0.000 (multiplicity 2)

Output
Crystal system = orthorhombic
DFT total energy = -7.077 eV/atom
Distance to the lowest polymorph of the same formula = 299 meV per atom
Size of the total moment = 0.0 Bohr magnetons per cell
ΔH_f (0 K) = 8.0 kcal/mol of atoms
D(E_F) = 0.958 states/eV/atom